Entry 1:
{"formula": "ScTe3", "functional": "PBE-GGA", "state": "optimized geometry", "formation_energy_uncorrected_mev_per_atom": -566, "energy_ev_per_atom": -4.505, "total_magnetization_mub_per_atom": 0.0000, "lattice": [[6.017, -0.086, 0.010], [1.906, 5.707, -0.010], [-3.332, -3.698, 3.381]], "species": ["Te", "Te", "Te", "Sc"], "fractional_positions": [[0.343, 0.682, 0.660], [0.978, 0.318, 0.660], [0.580, 0.500, 0.080], [0.933, 0.000, 0.933]]}


Entry 2:
{"formula": "ScTe", "functional": "PBE-GGA", "state": "optimized geometry", "formation_energy_uncorrected_mev_per_atom": -142, "energy_ev_per_atom": -4.879, "total_magnetization_mub_per_atom": 0.6314, "lattice": [[-4.741, 2.547, -0.305], [1.508, -3.368, -3.930], [-3.778, -6.538, 4.153]], "species": ["Sc", "Sc", "Sc", "Sc", "Te", "Te", "Te", "Te"], "fractional_positions": [[0.333, 0.667, 0.414], [0.667, 0.333, 0.586], [0.667, 0.333, 0.914], [0.333, 0.667, 0.086], [0.333, 0.667, 0.750], [0.000, 0.000, 0.250], [0.667, 0.333, 0.250], [0.000, 0.000, 0.750]]}


Entry 3:
{"formula": "ScTe3", "functional": "PBE-GGA", "state": "optimized geometry", "formation_energy_uncorrected_mev_per_atom": -504, "energy_ev_per_atom": -4.443, "total_magnetization_mub_per_atom": 0.0000, "lattice": [[-0.541, -2.990, 2.211], [3.700, -0.653, 0.022], [0.734, 4.372, 6.091]], "species": ["Te", "Te", "Te", "Sc"], "fractional_positions": [[0.500, 0.500, 0.797], [0.500, 0.500, 0.203], [0.000, 0.000, 0.500], [0.000, 0.000, 0.000]]}


Entry 4:
{"formula": "ScTe3", "functional": "PBE-GGA", "state": "optimized geometry", "formation_energy_uncorrected_mev_per_atom": -449, "energy_ev_per_atom": -4.388, "total_magnetization_mub_per_atom": 0.0000, "lattice": [[-8.408, 1.054, 0.044], [3.892, -3.299, 6.766], [0.467, 3.663, 1.517]], "species": ["Te", "Te", "Te", "Te", "Te", "Te", "Sc", "Sc"], "fractional_positions": [[0.815, 0.630, 0.250], [0.815, 0.185, 0.250], [0.185, 0.370, 0.750], [0.630, 0.815, 0.750], [0.370, 0.185, 0.250], [0.185, 0.815, 0.750], [0.333, 0.667, 0.250], [0.667, 0.333, 0.750]]}


Entry 5:
{"formula": "ScTe2", "functional": "PBE-GGA", "state": "optimized geometry", "formation_energy_uncorrected_mev_per_atom": -864, "energy_ev_per_atom": -5.069, "total_magnetization_mub_per_atom": 0.0000, "lattice": [[-2.620, -1.686, 2.307], [5.770, -2.134, 4.994], [-1.198, 9.048, 5.251]], "species": ["Sc", "Sc", "Sc", "Sc", "Te", "Te", "Te", "Te", "Te", "Te", "Te", "Te"], "fractional_positions": [[0.750, 0.191, 0.679], [0.750, 0.691, 0.821], [0.250, 0.309, 0.179], [0.250, 0.809, 0.321], [0.750, 0.336, 0.959], [0.250, 0.664, 0.041], [0.250, 0.989, 0.822], [0.250, 0.489, 0.678], [0.750, 0.011, 0.178], [0.750, 0.511, 0.322], [0.750, 0.836, 0.541], [0.250, 0.164, 0.459]]}


Entry 6:
{"formula": "ScTe2", "functional": "PBE-GGA", "state": "optimized geometry", "formation_energy_uncorrected_mev_per_atom": -997, "energy_ev_per_atom": -5.202, "total_magnetization_mub_per_atom": 0.0000, "lattice": [[-6.761, -2.129, 3.222], [-3.994, -3.225, 5.854], [-2.077, 4.055, 3.872]], "species": ["Sc", "Sc", "Te", "Te", "Te", "Te"], "fractional_positions": [[0.606, 0.606, 0.171], [0.338, 0.338, 0.440], [0.972, 0.972, 0.057], [0.972, 0.972, 0.554], [0.260, 0.260, 0.018], [0.685, 0.685, 0.593]]}


Entry 7:
{"formula": "ScTe2", "functional": "PBE-GGA", "state": "optimized geometry", "formation_energy_uncorrected_mev_per_atom": 296, "energy_ev_per_atom": -3.909, "total_magnetization_mub_per_atom": 0.3540, "lattice": [[0.053, -5.248, -3.441], [-1.266, -5.528, 2.688], [-5.381, -2.959, -1.293]], "species": ["Sc", "Sc", "Te", "Te", "Te", "Te"], "fractional_positions": [[0.500, 0.500, 0.500], [0.750, 0.750, 0.750], [0.125, 0.125, 0.625], [0.625, 0.125, 0.125], [0.125, 0.625, 0.125], [0.125, 0.125, 0.125]]}


Entry 8:
{"formula": "Sc5Te8", "functional": "PBE-GGA", "state": "optimized geometry", "formation_energy_uncorrected_mev_per_atom": -1163, "energy_ev_per_atom": -5.531, "total_magnetization_mub_per_atom": 0.0000, "lattice": [[7.901, -0.011, -2.165], [-4.759, 6.378, -1.947], [-0.017, -0.113, 7.997]], "species": ["Te", "Te", "Te", "Te", "Te", "Te", "Te", "Te", "Sc", "Sc", "Sc", "Sc", "Sc"], "fractional_positions": [[0.295, 0.966, 0.261], [0.705, 0.034, 0.739], [0.212, 0.545, 0.758], [0.788, 0.455, 0.242], [0.211, 0.041, 0.755], [0.286, 0.456, 0.245], [0.714, 0.544, 0.755], [0.789, 0.959, 0.245], [0.000, 0.000, 0.000], [0.747, 0.738, 0.485], [0.237, 0.737, 0.500], [0.253, 0.262, 0.515], [0.763, 0.263, 0.500]]}


Entry 9:
{"formula": "ScTe2", "functional": "PBE-GGA", "state": "optimized geometry", "formation_energy_uncorrected_mev_per_atom": -627, "energy_ev_per_atom": -4.832, "total_magnetization_mub_per_atom": 0.0000, "lattice": [[2.727, -4.724, 0.000], [2.727, 4.724, 0.000], [0.000, 0.000, 6.097]], "species": ["Te", "Te", "Te", "Te", "Sc", "Sc"], "fractional_positions": [[0.667, 0.333, 0.250], [0.000, 0.000, 0.000], [0.000, 0.000, 0.500], [0.333, 0.667, 0.750], [0.333, 0.667, 0.250], [0.667, 0.333, 0.750]]}


Entry 10:
{"formula": "ScTe3", "functional": "PBE-GGA", "state": "optimized geometry", "formation_energy_uncorrected_mev_per_atom": -648, "energy_ev_per_atom": -4.587, "total_magnetization_mub_per_atom": 0.0000, "lattice": [[7.152, 0.000, 0.000], [0.000, 8.038, 0.000], [0.000, 0.000, 8.287]], "species": ["Sc", "Sc", "Sc", "Sc", "Te", "Te", "Te", "Te", "Te", "Te", "Te", "Te", "Te", "Te", "Te", "Te"], "fractional_positions": [[0.034, 0.658, 0.250], [0.966, 0.342, 0.750], [0.534, 0.842, 0.750], [0.466, 0.158, 0.250], [0.143, 0.988, 0.750], [0.302, 0.869, 0.060], [0.302, 0.869, 0.440], [0.198, 0.369, 0.060], [0.802, 0.631, 0.940], [0.698, 0.131, 0.560], [0.198, 0.369, 0.440], [0.802, 0.631, 0.560], [0.857, 0.012, 0.250], [0.698, 0.131, 0.940], [0.357, 0.488, 0.750], [0.643, 0.512, 0.250]]}